Zn2AuI6 | PBE | optimized geometry

Cell and atoms, written as extended XYZ:
```
18
Lattice="7.2782 -8.3470 0.0000 7.2782 8.3470 0.0000 -3.6193 0.0000 6.2981" Properties=species:S:1:pos:R:3 pbc="T T T"
Zn 3.2558 1.2108 0.6705
Zn 1.4462 -1.2108 3.8196
Zn 9.4909 1.2108 2.4785
Zn 7.6813 -1.2108 5.6275
Au 6.3734 4.1775 1.5745
Au 4.5637 -4.1775 4.7236
I 2.7682 5.9536 5.7689
I 0.9556 1.2847 4.6796
I 6.3593 5.9536 3.6782
I 4.5587 2.4043 2.6424
I 2.7653 -1.2847 1.5305
I 8.1881 2.4043 0.5066
I 2.7490 -2.4043 5.7914
I 8.1719 1.2847 4.7675
I 6.3785 -2.4043 3.6557
I 4.5779 -5.9536 2.6199
I 9.9815 -1.2847 1.6185
I 8.1689 -5.9536 0.5292
```

VASP energy: -36.533 eV per cell
formation energy from raw total energies: -349.0 meV per atom